10
Lattice="7.722 0.000 0.000 0.000 7.722 0.000 0.000 0.000 3.341" Properties=species:S:1:pos:R:3 comment="K2LiN2 PBE-GGA optimized geometry" space_group="P4/mbm (127)" dos_at_fermi_per_ev_cell=6.05 total_energy_ev_per_atom=-3.03 raw_formation_energy_ev_per_atom=1.122 crystal_system=tetragonal pbc="T T T"
Li 0.000 0.000 0.000
K 1.042 2.819 0.000
N 1.322 5.182 1.670
N 2.539 1.322 1.670
Li 3.861 3.861 0.000
K 2.819 6.679 0.000
K 4.903 1.042 0.000
N 6.400 2.539 1.670
N 5.182 6.400 1.670
K 6.679 4.903 0.000

5
Lattice="4.872 0.000 0.000 0.000 4.872 0.000 0.000 0.000 4.872" Properties=species:S:1:pos:R:3 comment="KLiN3 PBE-GGA optimized geometry" space_group="Pm-3m (221)" dos_at_fermi_per_ev_cell=2.87 total_energy_ev_per_atom=-3.08 raw_formation_energy_ev_per_atom=2.519 crystal_system=cubic pbc="T T T"
N 2.436 0.000 0.000
K 0.000 0.000 0.000
Li 2.436 2.436 2.436
N 0.000 2.436 0.000
N 0.000 0.000 2.436

4
Lattice="-2.540 2.057 1.575 -3.295 -1.370 0.653 -0.318 -1.411 5.508" Properties=species:S:1:pos:R:3 comment="KLi2N PBE-GGA optimized geometry" space_group="R-3m (166)" dos_at_fermi_per_ev_cell=0.36 total_energy_ev_per_atom=-3.35 raw_formation_energy_ev_per_atom=-0.041 crystal_system=trigonal pbc="T T T"
Li -1.206 -0.517 2.909
K 0.000 0.000 0.000
N -3.077 -0.362 3.868
Li -4.948 -0.208 4.827

10
Lattice="-3.039 -1.640 -1.864 4.476 -3.824 0.199 -5.614 0.298 8.892" Properties=species:S:1:pos:R:3 comment="KLi3N PBE-GGA optimized geometry" space_group="C2/m (12)" dos_at_fermi_per_ev_cell=2.64 total_energy_ev_per_atom=-3.11 raw_formation_energy_ev_per_atom=-0.074 crystal_system=monoclinic pbc="T T T"
Li -0.826 -3.810 0.570
Li -0.049 -0.724 0.718
Li -3.351 -1.356 6.658
Li -5.884 -2.112 7.322
Li -4.128 -4.442 6.510
K -1.177 -3.773 5.241
N 0.336 -4.487 -0.729
K -3.000 -1.393 1.987
Li 1.707 -3.055 -0.094
N -4.513 -0.679 7.956